Record 1
# BeZn2Ga PBE-GGA optimized geometry
# crystal system = cubic
# E_tot = -2.02 eV/atom
data_BeZn2Ga
_chemical_formula_sum 'Be4 Zn8 Ga4'
_cell_length_a 6.1171
_cell_length_b 6.1171
_cell_length_c 6.1171
_cell_angle_alpha 90.00
_cell_angle_beta 90.00
_cell_angle_gamma 90.00
_symmetry_space_group_name_H-M 'P 1'
_symmetry_Int_Tables_number 1
loop_
_symmetry_equiv_pos_as_xyz
'x,y,z'
loop_
_atom_site_label
_atom_site_type_symbol
_atom_site_fract_x
_atom_site_fract_y
_atom_site_fract_z
Be1 Be 0.0000 0.0000 0.0000
Be2 Be 0.0000 0.5000 0.5000
Be3 Be 0.5000 0.0000 0.5000
Be4 Be 0.5000 0.5000 0.0000
Zn1 Zn 0.0000 0.0000 0.5000
Zn2 Zn 0.0000 0.5000 0.0000
Zn3 Zn 0.2500 0.2500 0.2500
Zn4 Zn 0.2500 0.7500 0.7500
Zn5 Zn 0.5000 0.0000 0.0000
Zn6 Zn 0.5000 0.5000 0.5000
Zn7 Zn 0.7500 0.2500 0.7500
Zn8 Zn 0.7500 0.7500 0.2500
Ga1 Ga 0.2500 0.2500 0.7500
Ga2 Ga 0.2500 0.7500 0.2500
Ga3 Ga 0.7500 0.2500 0.2500
Ga4 Ga 0.7500 0.7500 0.7500

***

Record 2
# ErTmGeI2 PBE-GGA optimized geometry
# E above lowest polymorph = 0 meV per atom
# crystal system = triclinic
data_ErTmGeI2
_chemical_formula_sum 'Er1 Tm1 Ge1 I2'
_cell_length_a 4.1961
_cell_length_b 4.1963
_cell_length_c 11.6477
_cell_angle_alpha 91.55
_cell_angle_beta 98.12
_cell_angle_gamma 120.00
_symmetry_space_group_name_H-M 'P 1'
_symmetry_Int_Tables_number 1
loop_
_symmetry_equiv_pos_as_xyz
'x,y,z'
loop_
_atom_site_label
_atom_site_type_symbol
_atom_site_fract_x
_atom_site_fract_y
_atom_site_fract_z
Er1 Er 0.0000 0.0000 0.0000
Tm1 Tm 0.4858 0.7631 0.2664
Ge1 Ge 0.7431 0.3815 0.1335
I1 I 0.2335 0.6036 0.8257
I2 I 0.2522 0.1594 0.4405

***

Record 3
# NdGaPO PBE-GGA optimized geometry
# E above lowest polymorph = 136 meV per atom
# crystal system = orthorhombic
data_NdGaPO
_chemical_formula_sum 'Nd2 Ga2 P2 O2'
_cell_length_a 4.5415
_cell_length_b 4.5114
_cell_length_c 6.7060
_cell_angle_alpha 90.00
_cell_angle_beta 90.00
_cell_angle_gamma 90.00
_symmetry_space_group_name_H-M 'P 1'
_symmetry_Int_Tables_number 1
loop_
_symmetry_equiv_pos_as_xyz
'x,y,z'
loop_
_atom_site_label
_atom_site_type_symbol
_atom_site_fract_x
_atom_site_fract_y
_atom_site_fract_z
Nd1 Nd 0.0000 0.1891 0.0000
Nd2 Nd 0.0000 0.8109 0.5000
Ga1 Ga 0.5000 0.3269 0.3443
Ga2 Ga 0.5000 0.6731 0.8443
P1 P 0.5000 0.1730 0.6929
P2 P 0.5000 0.8270 0.1929
O1 O 0.0000 0.3182 0.3473
O2 O 0.0000 0.6818 0.8473

***

Record 4
# LiCd2Ag PBE-GGA optimized geometry
# E above lowest polymorph = 18 meV per atom
# crystal system = tetragonal
data_LiCd2Ag
_chemical_formula_sum 'Li1 Cd2 Ag1'
_cell_length_a 3.3965
_cell_length_b 3.3965
_cell_length_c 6.4143
_cell_angle_alpha 90.00
_cell_angle_beta 90.00
_cell_angle_gamma 90.00
_symmetry_space_group_name_H-M 'P 1'
_symmetry_Int_Tables_number 1
loop_
_symmetry_equiv_pos_as_xyz
'x,y,z'
loop_
_atom_site_label
_atom_site_type_symbol
_atom_site_fract_x
_atom_site_fract_y
_atom_site_fract_z
Li1 Li 0.0000 0.0000 0.0000
Cd1 Cd 0.5000 0.5000 0.2409
Cd2 Cd 0.5000 0.5000 0.7591
Ag1 Ag 0.0000 0.0000 0.5000

***

Record 5
# Ta4FeBiN2 PBE-GGA optimized geometry
# crystal system = hexagonal
# E_tot = -9.79 eV/atom
data_Ta4FeBiN2
_chemical_formula_sum 'Ta4 Fe1 Bi1 N2'
_cell_length_a 3.1250
_cell_length_b 3.1250
_cell_length_c 14.2858
_cell_angle_alpha 90.00
_cell_angle_beta 90.00
_cell_angle_gamma 120.00
_symmetry_space_group_name_H-M 'P 1'
_symmetry_Int_Tables_number 1
loop_
_symmetry_equiv_pos_as_xyz
'x,y,z'
loop_
_atom_site_label
_atom_site_type_symbol
_atom_site_fract_x
_atom_site_fract_y
_atom_site_fract_z
Ta1 Ta 0.0000 0.0000 0.1379
Ta2 Ta 0.0000 0.0000 0.8621
Ta3 Ta 0.3333 0.6667 0.3092
Ta4 Ta 0.3333 0.6667 0.6908
Fe1 Fe 0.3333 0.6667 0.0000
Bi1 Bi 0.0000 0.0000 0.5000
N1 N 0.6667 0.3333 0.2239
N2 N 0.6667 0.3333 0.7761

***

Record 6
# ScCuRePb PBE-GGA optimized geometry
# E above lowest polymorph = 0 meV per atom
# crystal system = cubic
data_ScCuRePb
_chemical_formula_sum 'Sc4 Cu4 Re4 Pb4'
_cell_length_a 6.6050
_cell_length_b 6.6050
_cell_length_c 6.6050
_cell_angle_alpha 90.00
_cell_angle_beta 90.00
_cell_angle_gamma 90.00
_symmetry_space_group_name_H-M 'P 1'
_symmetry_Int_Tables_number 1
loop_
_symmetry_equiv_pos_as_xyz
'x,y,z'
loop_
_atom_site_label
_atom_site_type_symbol
_atom_site_fract_x
_atom_site_fract_y
_atom_site_fract_z
Sc1 Sc 0.0000 0.0000 0.0000
Sc2 Sc 0.0000 0.5000 0.5000
Sc3 Sc 0.5000 0.0000 0.5000
Sc4 Sc 0.5000 0.5000 0.0000
Cu1 Cu 0.2500 0.2500 0.7500
Cu2 Cu 0.2500 0.7500 0.2500
Cu3 Cu 0.7500 0.2500 0.2500
Cu4 Cu 0.7500 0.7500 0.7500
Re1 Re 0.2500 0.2500 0.2500
Re2 Re 0.2500 0.7500 0.7500
Re3 Re 0.7500 0.2500 0.7500
Re4 Re 0.7500 0.7500 0.2500
Pb1 Pb 0.0000 0.0000 0.5000
Pb2 Pb 0.0000 0.5000 0.0000
Pb3 Pb 0.5000 0.0000 0.0000
Pb4 Pb 0.5000 0.5000 0.5000

***

Record 7
# KTm4InC2 PBE-GGA optimized geometry
# crystal system = hexagonal
# E_tot = -5.29 eV/atom
data_KTm4InC2
_chemical_formula_sum 'K1 Tm4 In1 C2'
_cell_length_a 3.5808
_cell_length_b 3.5808
_cell_length_c 18.0243
_cell_angle_alpha 90.00
_cell_angle_beta 90.00
_cell_angle_gamma 120.00
_symmetry_space_group_name_H-M 'P 1'
_symmetry_Int_Tables_number 1
loop_
_symmetry_equiv_pos_as_xyz
'x,y,z'
loop_
_atom_site_label
_atom_site_type_symbol
_atom_site_fract_x
_atom_site_fract_y
_atom_site_fract_z
K1 K 0.0000 0.0000 0.0000
Tm1 Tm 0.0000 0.0000 0.3546
Tm2 Tm 0.0000 0.0000 0.6454
Tm3 Tm 0.6667 0.3333 0.2093
Tm4 Tm 0.6667 0.3333 0.7907
In1 In 0.6667 0.3333 0.5000
C1 C 0.3333 0.6667 0.2767
C2 C 0.3333 0.6667 0.7233

***

Record 8
# TbPrZn2As4 PBE-GGA optimized geometry
# crystal system = tetragonal
# E_tot = -4.53 eV/atom
data_TbPrZn2As4
_chemical_formula_sum 'Tb1 Pr1 Zn2 As4'
_cell_length_a 4.0399
_cell_length_b 4.0399
_cell_length_c 10.2639
_cell_angle_alpha 90.00
_cell_angle_beta 90.00
_cell_angle_gamma 90.00
_symmetry_space_group_name_H-M 'P 1'
_symmetry_Int_Tables_number 1
loop_
_symmetry_equiv_pos_as_xyz
'x,y,z'
loop_
_atom_site_label
_atom_site_type_symbol
_atom_site_fract_x
_atom_site_fract_y
_atom_site_fract_z
Tb1 Tb 0.0000 0.0000 0.0000
Pr1 Pr 0.5000 0.5000 0.5634
Zn1 Zn 0.0000 0.5000 0.2752
Zn2 Zn 0.5000 0.0000 0.2752
As1 As 0.0000 0.0000 0.4406
As2 As 0.0000 0.5000 0.7883
As3 As 0.5000 0.0000 0.7883
As4 As 0.5000 0.5000 0.1076

***

Record 9
# GdTmMg2Au4 PBE-GGA optimized geometry
# crystal system = tetragonal
# E_tot = -3.94 eV/atom
data_GdTmMg2Au4
_chemical_formula_sum 'Gd1 Tm1 Mg2 Au4'
_cell_length_a 4.8649
_cell_length_b 4.8649
_cell_length_c 6.8837
_cell_angle_alpha 90.00
_cell_angle_beta 90.00
_cell_angle_gamma 90.00
_symmetry_space_group_name_H-M 'P 1'
_symmetry_Int_Tables_number 1
loop_
_symmetry_equiv_pos_as_xyz
'x,y,z'
loop_
_atom_site_label
_atom_site_type_symbol
_atom_site_fract_x
_atom_site_fract_y
_atom_site_fract_z
Gd1 Gd 0.0000 0.0000 0.0000
Tm1 Tm 0.5000 0.5000 0.5000
Mg1 Mg 0.0000 0.0000 0.5000
Mg2 Mg 0.5000 0.5000 0.0000
Au1 Au 0.0000 0.5000 0.2561
Au2 Au 0.0000 0.5000 0.7439
Au3 Au 0.5000 0.0000 0.2561
Au4 Au 0.5000 0.0000 0.7439

***

Record 10
# Pd2AuO4 PBE-GGA optimized geometry
# crystal system = cubic
# E_tot = -4.94 eV/atom
data_Pd2AuO4
_chemical_formula_sum 'Pd4 Au2 O8'
_cell_length_a 6.3270
_cell_length_b 6.3270
_cell_length_c 6.3270
_cell_angle_alpha 60.00
_cell_angle_beta 60.00
_cell_angle_gamma 60.00
_symmetry_space_group_name_H-M 'P 1'
_symmetry_Int_Tables_number 1
loop_
_symmetry_equiv_pos_as_xyz
'x,y,z'
loop_
_atom_site_label
_atom_site_type_symbol
_atom_site_fract_x
_atom_site_fract_y
_atom_site_fract_z
Pd1 Pd 0.0000 0.0000 0.0000
Pd2 Pd 0.0000 0.0000 0.5000
Pd3 Pd 0.0000 0.5000 0.0000
Pd4 Pd 0.5000 0.0000 0.0000
Au1 Au 0.3750 0.3750 0.3750
Au2 Au 0.6250 0.6250 0.6250
O1 O 0.1942 0.7686 0.7686
O2 O 0.2314 0.2314 0.2314
O3 O 0.2314 0.2314 0.8058
O4 O 0.2314 0.8058 0.2314
O5 O 0.7686 0.1942 0.7686
O6 O 0.7686 0.7686 0.1942
O7 O 0.7686 0.7686 0.7686
O8 O 0.8058 0.2314 0.2314

***

Record 11
# Pr2GdAl3AgPt2 PBE-GGA optimized geometry
# crystal system = orthorhombic
# E_tot = -5.29 eV/atom
data_Pr2GdAl3AgPt2
_chemical_formula_sum 'Pr2 Gd1 Al3 Ag1 Pt2'
_cell_length_a 4.2371
_cell_length_b 7.2841
_cell_length_c 7.2841
_cell_angle_alpha 120.13
_cell_angle_beta 90.00
_cell_angle_gamma 90.00
_symmetry_space_group_name_H-M 'P 1'
_symmetry_Int_Tables_number 1
loop_
_symmetry_equiv_pos_as_xyz
'x,y,z'
loop_
_atom_site_label
_atom_site_type_symbol
_atom_site_fract_x
_atom_site_fract_y
_atom_site_fract_z
Pr1 Pr 0.0000 0.2106 0.7894
Pr2 Pr 0.0000 0.7894 0.2106
Gd1 Gd 0.0000 0.6347 0.6347
Al1 Al 0.5000 0.2169 0.4567
Al2 Al 0.5000 0.4567 0.2169
Al3 Al 0.5000 0.9678 0.9678
Ag1 Ag 0.0000 0.2177 0.2177
Pt1 Pt 0.5000 0.5482 0.8702
Pt2 Pt 0.5000 0.8702 0.5482

***

Please write out number 2 again, unchanged.
# ErTmGeI2 PBE-GGA optimized geometry
# E above lowest polymorph = 0 meV per atom
# crystal system = triclinic
data_ErTmGeI2
_chemical_formula_sum 'Er1 Tm1 Ge1 I2'
_cell_length_a 4.1961
_cell_length_b 4.1963
_cell_length_c 11.6477
_cell_angle_alpha 91.55
_cell_angle_beta 98.12
_cell_angle_gamma 120.00
_symmetry_space_group_name_H-M 'P 1'
_symmetry_Int_Tables_number 1
loop_
_symmetry_equiv_pos_as_xyz
'x,y,z'
loop_
_atom_site_label
_atom_site_type_symbol
_atom_site_fract_x
_atom_site_fract_y
_atom_site_fract_z
Er1 Er 0.0000 0.0000 0.0000
Tm1 Tm 0.4858 0.7631 0.2664
Ge1 Ge 0.7431 0.3815 0.1335
I1 I 0.2335 0.6036 0.8257
I2 I 0.2522 0.1594 0.4405